[1]
DFT (PBE-GGA) results for an optimized crystal structure of LaPmNi2Sb2.

## Properties
raw formation energy	-0.86	eV per atom
electronic total energy	-5.77	eV per atom
V	23.192	Å³ per atom

a b c (Å): 4.4055 4.4055 8.2786
angles (deg): 90.00 90.00 120.00
With the nearest neighbours (Å) after each atom.
Atoms (fractional coordinates):
1 La 0.0000 0.0000 0.0000  6 Sb 3.31, 6 Ni 3.34
2 Pm 0.0000 0.0000 0.5000  6 Ni 3.22, 6 Sb 3.25
3 Ni 0.3333 0.6667 0.7387  3 Sb 2.54
4 Ni 0.6667 0.3333 0.2613  3 Sb 2.54
5 Sb 0.3333 0.6667 0.2559  3 Ni 2.54
6 Sb 0.6667 0.3333 0.7441  3 Ni 2.54

=====

[2]
DFT (PBE-GGA) results for an optimized crystal structure of Ga2CuNi.

## Properties
electronic total energy	-3.97	eV per atom
ΔE_f	8.6	meV per atom
V	14.598	Å³ per atom

a b c (Å): 8.8645 8.8645 8.8645
angles (deg): 18.05 18.05 18.05
With the nearest neighbours (Å) after each atom.
Atoms (fractional coordinates):
1 Ga 0.0932 0.0932 0.0932  1 Cu 2.44, 3 Ni 2.50
2 Ga 0.9068 0.9068 0.9068  1 Cu 2.44, 3 Ni 2.50
3 Cu 0.0000 0.0000 0.0000  2 Ga 2.44
4 Ni 0.5000 0.5000 0.5000  6 Ga 2.50, 6 Ni 2.78

=====

[3]
DFT (PBE-GGA) results for an optimized crystal structure of Rb2ReBF.

## Properties
raw formation energy	1.29	eV per atom
electronic total energy	-3.30	eV per atom
V	37.478	Å³ per atom

a b c (Å): 6.7848 6.7848 4.0707
angles (deg): 90.00 90.00 90.00
With the nearest neighbours (Å) after each atom.
Atoms (fractional coordinates):
1 Rb 0.0000 0.5000 0.0000  2 Re 3.39
2 Rb 0.5000 0.0000 0.0000  2 Re 3.39
3 Re 0.0000 0.0000 0.0000  2 F 2.04
4 B 0.5000 0.5000 0.5000  8 Rb 3.96, 2 B 4.07
5 F 0.0000 0.0000 0.5000  2 Re 2.04

=====

[4]
DFT (PBE-GGA) results for an optimized crystal structure of AlRe2Ni.

## Properties
electronic total energy	-8.67	eV per atom
ΔE_f	-67.0	meV per atom
V	14.110	Å³ per atom

a b c (Å): 2.7888 3.7550 5.3898
angles (deg): 90.00 90.00 90.00
With the nearest neighbours (Å) after each atom.
Atoms (fractional coordinates):
1 Al 0.0000 0.0000 0.0000  4 Ni 2.58, 6 Re 2.66-2.81, 2 Al 2.79
2 Re 0.0000 0.0000 0.4927  6 Re 2.62-2.79, 2 Al 2.66-2.73, 4 Ni 2.81
3 Re 0.5000 0.5000 0.7112  6 Re 2.62-2.79, 2 Ni 2.66-2.73, 4 Al 2.81
4 Ni 0.5000 0.5000 0.2043  4 Al 2.58, 6 Re 2.66-2.81, 2 Ni 2.79

=====

[5]
DFT (PBE-GGA) results for an optimized crystal structure of Ho4Cu3Os.

## Properties
electronic total energy	-5.49	eV per atom
ΔE_f	-265.7	meV per atom
V	20.374	Å³ per atom

a b c (Å): 3.4150 3.4150 13.9763
angles (deg): 90.00 90.00 90.00
With the nearest neighbours (Å) after each atom.
Atoms (fractional coordinates):
1 Ho 0.0000 0.0000 0.1191  4 Os 2.93, 4 Cu 3.05
2 Ho 0.0000 0.0000 0.3735  8 Cu 2.95-2.99
3 Ho 0.0000 0.0000 0.6265  8 Cu 2.95-2.99
4 Ho 0.0000 0.0000 0.8809  4 Os 2.93, 4 Cu 3.05
5 Cu 0.5000 0.5000 0.2523  8 Ho 2.95-3.05
6 Cu 0.5000 0.5000 0.5000  8 Ho 2.99
7 Cu 0.5000 0.5000 0.7477  8 Ho 2.95-3.05
8 Os 0.5000 0.5000 0.0000  8 Ho 2.93

=====

[6]
DFT (PBE-GGA) results for an optimized crystal structure of CeHfS2.

## Properties
raw formation energy	-1.19	eV per atom
electronic total energy	-7.22	eV per atom
ΔE to the lowest computed polymorph	0.396	eV/atom
V	24.177	Å³ per atom

a b c (Å): 8.9145 8.9145 8.9145
angles (deg): 23.22 23.22 23.22
With the nearest neighbours (Å) after each atom.
Atoms (fractional coordinates):
1 Ce 0.0000 0.0000 0.0000  2 S 2.82
2 Hf 0.5000 0.5000 0.5000  6 S 2.56
3 S 0.1086 0.1086 0.1086  3 Hf 2.56, 1 Ce 2.82
4 S 0.8914 0.8914 0.8914  3 Hf 2.56, 1 Ce 2.82